Record 1
# GdAlAsO | the Open Quantum Materials Database | PBE | relaxed
# Density ... 6.3 g cm⁻³
# Total DFT energy (no corrections) ... -6.1770 eV per atom
data_GdAlAsO
_chemical_formula_sum 'Gd2 Al2 As2 O2'
_cell_length_a 4.061
_cell_length_b 4.061
_cell_length_c 8.786
_cell_angle_alpha 90.00
_cell_angle_beta 90.00
_cell_angle_gamma 90.00
_symmetry_space_group_name_H-M 'P 4/n m m'
_symmetry_Int_Tables_number 129
loop_
_symmetry_equiv_pos_as_xyz
'x,y,z'
'-x,-y,-z'
'-y+1/2,x,z'
'y+1/2,-x,-z'
'-x+1/2,-y+1/2,z'
'x+1/2,y+1/2,-z'
'y,-x+1/2,z'
'-y,x+1/2,-z'
'x+1/2,-y,-z'
'-x+1/2,y,z'
'-y,-x,-z'
'y,x,z'
'-x,y+1/2,-z'
'x,-y+1/2,z'
'y+1/2,x+1/2,-z'
'-y+1/2,-x+1/2,z'
loop_
_atom_site_label
_atom_site_type_symbol
_atom_site_fract_x
_atom_site_fract_y
_atom_site_fract_z
Gd1 Gd 0.250 0.250 0.120
Al1 Al 0.250 0.750 0.500
As1 As 0.250 0.250 0.677
O1 O 0.250 0.750 0.000

***

Record 2
# GdAlAsO | the Open Quantum Materials Database | PBE | relaxed
# Density ... 5.8 g cm⁻³
# Total DFT energy (no corrections) ... -6.1292 eV per atom
data_GdAlAsO
_chemical_formula_sum 'Gd2 Al2 As2 O2'
_cell_length_a 4.062
_cell_length_b 6.710
_cell_length_c 5.763
_cell_angle_alpha 90.00
_cell_angle_beta 90.00
_cell_angle_gamma 90.00
_symmetry_space_group_name_H-M 'P m c 21'
_symmetry_Int_Tables_number 26
_symmetry_space_group_name_Hall 'P 2c -2'
loop_
_atom_site_label
_atom_site_type_symbol
_atom_site_fract_x
_atom_site_fract_y
_atom_site_fract_z
Gd1 Gd 0.000 0.186 0.000
Al1 Al 0.500 0.409 0.642
As1 As 0.000 0.244 0.495
O1 O 0.500 0.359 0.966

***

Record 3
# AlAsH6Os | the Open Quantum Materials Database | PBE | relaxed
# Density ... 7.6 g cm⁻³
# Total DFT energy (no corrections) ... -3.5991 eV per atom
data_AlAsH6Os
_chemical_formula_sum 'Al4 As4 H24 Os4'
_cell_length_a 6.383
_cell_length_b 6.383
_cell_length_c 6.383
_cell_angle_alpha 90.00
_cell_angle_beta 90.00
_cell_angle_gamma 90.00
_symmetry_space_group_name_H-M 'F -4 3 m'
_symmetry_Int_Tables_number 216
_symmetry_space_group_name_Hall 'F -4 2 3'
loop_
_atom_site_label
_atom_site_type_symbol
_atom_site_fract_x
_atom_site_fract_y
_atom_site_fract_z
Al1 Al 0.000 0.000 0.000
As1 As 0.250 0.250 0.750
H1 H 0.000 0.000 0.275
Os1 Os 0.250 0.250 0.250

***

Record 4
# AlTcAsH6 | the Open Quantum Materials Database | PBE | relaxed
# Density ... 5.5 g cm⁻³
# Total DFT energy (no corrections) ... -3.5584 eV per atom
data_AlTcAsH6
_chemical_formula_sum 'Al4 Tc4 As4 H24'
_cell_length_a 6.304
_cell_length_b 6.304
_cell_length_c 6.304
_cell_angle_alpha 90.00
_cell_angle_beta 90.00
_cell_angle_gamma 90.00
_symmetry_space_group_name_H-M 'F -4 3 m'
_symmetry_Int_Tables_number 216
_symmetry_space_group_name_Hall 'F -4 2 3'
loop_
_atom_site_label
_atom_site_type_symbol
_atom_site_fract_x
_atom_site_fract_y
_atom_site_fract_z
Al1 Al 0.000 0.000 0.000
Tc1 Tc 0.000 0.000 0.500
As1 As 0.250 0.250 0.250
H1 H 0.090 0.250 0.750

***

Record 5
# Hf3AlAs | the Open Quantum Materials Database | PBE | relaxed
# Density ... 10.1 g cm⁻³
# Total DFT energy (no corrections) ... -8.0786 eV per atom
data_Hf3AlAs
_chemical_formula_sum 'Hf12 Al4 As4'
_cell_length_a 3.560
_cell_length_b 12.545
_cell_length_c 9.426
_cell_angle_alpha 90.00
_cell_angle_beta 90.00
_cell_angle_gamma 90.00
_symmetry_space_group_name_H-M 'C m c m'
_symmetry_Int_Tables_number 63
_symmetry_space_group_name_Hall '-C 2c 2'
loop_
_atom_site_label
_atom_site_type_symbol
_atom_site_fract_x
_atom_site_fract_y
_atom_site_fract_z
Hf1 Hf 0.000 0.081 0.250
Hf2 Hf 0.000 0.347 0.040
Al1 Al 0.000 0.244 0.750
As1 As 0.000 0.000 0.000

***

Record 6
# HfAlAs2 | the Open Quantum Materials Database | PBE | relaxed
# Density ... 7.7 g cm⁻³
# Total DFT energy (no corrections) ... -5.5830 eV per atom
data_HfAlAs2
_chemical_formula_sum 'Hf4 Al4 As8'
_cell_length_a 6.742
_cell_length_b 6.742
_cell_length_c 6.742
_cell_angle_alpha 90.00
_cell_angle_beta 90.00
_cell_angle_gamma 90.00
_symmetry_space_group_name_H-M 'F -4 3 m'
_symmetry_Int_Tables_number 216
_symmetry_space_group_name_Hall 'F -4 2 3'
loop_
_atom_site_label
_atom_site_type_symbol
_atom_site_fract_x
_atom_site_fract_y
_atom_site_fract_z
Hf1 Hf 0.000 0.000 0.000
Al1 Al 0.250 0.250 0.750
As1 As 0.000 0.000 0.500
As2 As 0.250 0.250 0.250

***

Record 7
# Al3Hg2As | the Open Quantum Materials Database | PBE | relaxed
# Density ... 7.4 g cm⁻³
# Total DFT energy (no corrections) ... -2.5542 eV per atom
data_Al3Hg2As
_chemical_formula_sum 'Al3 Hg2 As1'
_cell_length_a 3.802
_cell_length_b 3.802
_cell_length_c 8.623
_cell_angle_alpha 90.00
_cell_angle_beta 90.00
_cell_angle_gamma 90.00
_symmetry_space_group_name_H-M 'P -4 m 2'
_symmetry_Int_Tables_number 115
_symmetry_space_group_name_Hall 'P -4 -2'
loop_
_atom_site_label
_atom_site_type_symbol
_atom_site_fract_x
_atom_site_fract_y
_atom_site_fract_z
Al1 Al 0.000 0.000 0.000
Al2 Al 0.000 0.500 0.615
Hg1 Hg 0.000 0.500 0.292
As1 As 0.500 0.500 0.000

***

Record 8
# HoAlAs | the Open Quantum Materials Database | PBE | relaxed
# Density ... 6.0 g cm⁻³
# Total DFT energy (no corrections) ... -4.4126 eV per atom
data_HoAlAs
_chemical_formula_sum 'Ho4 Al4 As4'
_cell_length_a 6.661
_cell_length_b 6.661
_cell_length_c 6.661
_cell_angle_alpha 90.00
_cell_angle_beta 90.00
_cell_angle_gamma 90.00
_symmetry_space_group_name_H-M 'F -4 3 m'
_symmetry_Int_Tables_number 216
_symmetry_space_group_name_Hall 'F -4 2 3'
loop_
_atom_site_label
_atom_site_type_symbol
_atom_site_fract_x
_atom_site_fract_y
_atom_site_fract_z
Ho1 Ho 0.000 0.000 0.000
Al1 Al 0.250 0.250 0.750
As1 As 0.000 0.000 0.500